No. 1
Crystalline LuPdRh2 at its relaxed geometry. Source: Alexandria, functional GGA-PBE.

POSCAR file:
```
LuPdRh2
1.0
4.047 0.000 0.000
0.000 4.047 0.000
0.000 0.000 3.981
Lu Pd Rh
1 1 2
Cartesian
0.000 0.000 0.000 Lu
2.023 2.023 0.000 Pd
0.000 2.023 1.991 Rh
2.023 0.000 1.991 Rh
```

Calculated values
Symmetry: P4/mmm (123)
E: -27.02 eV per cell

No. 2
Crystalline AcY2Cl at its relaxed geometry. Source: Alexandria, functional GGA-PBE.

POSCAR file:
```
AcY2Cl
1.0
1.884 1.088 10.401
-1.884 1.088 10.401
0.000 -2.175 10.401
Ac Y Cl
1 2 1
Cartesian
0.000 0.000 0.000 Ac
0.000 0.000 3.529 Y
0.000 0.000 27.672 Y
0.000 0.000 15.601 Cl
```

Calculated values
Symmetry: R-3m (166)
Energy relative to the elements, uncorrected: -371 meV per atom

No. 3
Crystalline Tb5CeSm2 at its relaxed geometry. Source: Alexandria, functional GGA-PBE.

POSCAR file:
```
Tb5CeSm2
1.0
7.147 0.000 0.000
0.000 14.307 0.000
0.000 0.000 5.057
Tb Ce Sm
10 2 4
Cartesian
0.000 0.000 0.000 Tb
0.009 3.579 0.000 Tb
1.752 8.923 2.529 Tb
1.822 1.770 2.529 Tb
3.564 10.733 0.000 Tb
3.574 7.153 0.000 Tb
3.583 3.574 0.000 Tb
5.325 12.537 2.529 Tb
5.396 5.383 2.529 Tb
7.138 10.727 0.000 Tb
0.000 7.153 0.000 Ce
3.574 0.000 0.000 Ce
1.762 5.385 2.529 Sm
1.812 12.538 2.529 Sm
5.335 1.769 2.529 Sm
5.385 8.922 2.529 Sm
```

Calculated values
Energy relative to the lowest polymorph listed for this composition: 0.000 eV per atom
Symmetry: Pbam (55)

No. 4
Crystalline KSiPCO7 at its relaxed geometry. Source: Alexandria, functional GGA-PBE.

POSCAR file:
```
KSiPCO7
1.0
4.940 0.000 0.000
0.000 6.014 0.000
-1.468 0.000 9.400
K Si P C O
2 2 2 2 14
Cartesian
0.220 0.000 1.419 K
3.253 3.007 7.981 K
0.412 5.725 6.135 Si
3.060 2.718 3.265 Si
0.620 2.711 5.242 P
2.852 5.717 4.157 P
0.959 5.723 8.341 C
2.514 2.716 1.058 C
-0.323 2.709 4.038 O
-0.286 5.718 7.836 O
0.379 1.506 6.168 O
0.381 3.920 6.166 O
1.670 2.706 2.098 O
1.382 5.722 4.654 O
0.742 2.724 9.262 O
2.731 5.730 0.138 O
2.091 2.715 4.746 O
1.802 5.712 7.302 O
3.092 0.913 3.234 O
3.094 4.513 3.231 O
3.758 2.711 1.564 O
3.796 5.715 5.362 O
```

Calculated values
Symmetry: P2_1 (4)
Energy relative to the elements, uncorrected: -2094 meV per atom

Summary of total moment in μB/atom
0.000 0.000 0.117 0.000
(order as listed above)